Here is an optimized crystal structure of Mo3WI from the Alexandria database. Energies are from PBE.

```
Mo3WI
1.0
-3.3231 2.7666 -2.1902
-2.6859 -0.0322 4.0347
2.2883 3.9798 1.5552
I Mo W
1 3 1
Cartesian
-1.8604 3.3571 1.6998
-1.3430 -0.0161 2.0173
-1.6615 1.3833 -1.0951
1.1442 1.9899 0.7776
0.0000 0.0000 0.0000
```

Output
total energy: -7.452 eV/atom
volume: 113.9 Å³/cell
formation energy (no corrections): 1947 meV per atom
total magnetization: 0.0 μB/f.u.
space-group type: Pm-3m

Here is an optimized crystal structure of Nd2Dy3Y6Er from the Alexandria database. Energies are from PBE.

```
Nd2Dy3Y6Er
1.0
6.1933 0.0013 0.0085
-3.0940 5.3651 0.0085
-1.0434 -1.8066 11.6592
Dy Y Nd Er
3 6 2 1
Cartesian
-2.0694 3.5688 5.8381
4.1254 -0.0090 5.8381
1.0280 1.7799 5.8381
-0.0112 -0.0193 8.7206
2.0671 3.5792 2.9556
-1.0308 1.7808 2.9425
-0.0017 3.5627 8.7337
2.0576 -0.0028 2.9425
3.0867 1.7790 8.7337
3.0959 1.7902 0.0085
0.0034 3.5762 0.0085
0.0000 0.0000 0.0000
```

Output
total energy: -5.539 eV/atom
energy relative to the elements: 0.018 eV per atom
volume: 387.7 Å³/cell
total magnetization: 0.0 μB/f.u.
space-group type: C2/m

Here is an optimized crystal structure of TlCoCu from the Alexandria database. Energies are from PBE.

```
TlCoCu
1.0
4.2045 0.0000 0.0000
2.1023 3.6412 0.0000
2.1023 1.2137 3.4330
Cu Tl Co
1 1 1
Cartesian
0.0000 0.0000 0.0000
4.2045 2.4275 1.7165
2.1023 1.2137 0.8582
```

Output
total energy: -3.924 eV/atom
energy relative to the elements: 0.599 eV per atom
volume: 52.6 Å³/cell
total magnetization: 0.0 μB/f.u.
space-group type: F-43m

Here is an optimized crystal structure of Tb6PmSm2Sc3 from the Alexandria database. Energies are from PBE.

```
Tb6PmSm2Sc3
1.0
6.0952 -0.0001 0.0157
-3.0462 5.2794 0.0157
-1.0433 -1.8065 11.3556
Sc Tb Sm Pm
3 6 2 1
Cartesian
-2.0432 3.4956 5.6935
1.0028 1.7364 5.6935
4.0489 -0.0228 5.6935
-1.0223 1.7487 2.9766
-0.0200 -0.0346 8.3929
2.0256 -0.0115 2.9766
-0.0199 3.4843 8.4103
3.0280 1.7241 8.4103
2.0257 3.5074 2.9940
0.0014 3.5193 0.0157
3.0475 1.7600 0.0157
0.0000 0.0000 0.0000
```

Output
total energy: -5.034 eV/atom
energy relative to the elements: 0.046 eV per atom
volume: 365.7 Å³/cell
total magnetization: 0.0 μB/f.u.
space-group type: C2/m

Here is an optimized crystal structure of TiGePd from the Alexandria database. Energies are from PBE.

```
TiGePd
1.0
4.6837 0.0000 0.5061
0.0000 2.8107 0.0000
-0.8898 -1.4053 7.7288
Ge Ti Pd
2 2 2
Cartesian
1.3563 1.4053 1.1710
2.9487 0.0000 7.8052
1.0509 1.4053 3.8676
3.2547 0.0000 5.1086
0.7437 0.0000 6.2547
3.5615 1.4053 2.7214
```

Output
total energy: -6.039 eV/atom
energy relative to the elements: -0.137 eV per atom
volume: 103.0 Å³/cell
total magnetization: 0.0 μB/f.u.
space-group type: C2/m

Here is an optimized crystal structure of NaTl2Cd2 from the Alexandria database. Energies are from PBE.

```
NaTl2Cd2
1.0
-2.5105 4.1493 -1.8377
-5.1849 0.1147 0.0228
-2.4904 3.7709 4.5973
Cd Na Tl
2 1 2
Cartesian
-5.0586 5.6050 1.2696
-5.1271 2.4299 1.5128
-2.5924 0.0574 0.0114
-2.5226 3.2650 -0.1594
-7.6631 4.7699 2.9418
```

Output
total energy: -1.617 eV/atom
energy relative to the elements: -0.041 eV per atom
volume: 133.0 Å³/cell
total magnetization: 0.0 μB/f.u.
space-group type: R-3m

Here is an optimized crystal structure of CsBa3P from the Alexandria database. Energies are from PBE.

```
CsBa3P
1.0
7.6213 0.0000 2.3956
3.4342 6.8037 2.3956
-0.0204 -0.0126 13.3860
Ba Cs P
6 2 2
Cartesian
4.6040 6.0799 7.3945
6.4309 0.7112 10.7829
2.3468 3.0710 9.9556
8.6882 3.7201 8.2218
6.1760 5.4206 11.6138
4.8589 1.3705 6.5637
3.6883 2.2699 14.9081
7.3465 4.5212 3.2698
1.8289 1.1256 7.5025
9.2060 5.6656 10.6750
```

Output
total energy: -2.797 eV/atom
energy relative to the elements: -0.391 eV per atom
volume: 694.6 Å³/cell
total magnetization: 0.0 μB/f.u.
space-group type: R-3

Here is an optimized crystal structure of ZrTe2 from the Alexandria database. Energies are from PBE.

```
ZrTe2
1.0
-4.5297 0.9786 -5.4632
2.1820 -6.1699 -2.9143
-5.1032 -3.5067 3.6032
Zr Te
4 8
Cartesian
-4.8165 -1.2641 -0.9300
0.0000 0.0000 0.0000
-1.4606 -4.8383 0.3444
-1.1739 -2.5957 -4.1887
-3.3345 -4.5881 -4.0873
-7.4846 -4.3787 -2.6396
-4.1165 -4.1099 -0.6870
-2.0366 -1.0228 -1.8585
0.0336 -4.3193 -2.1347
-5.4144 -7.6752 -2.9158
-5.4047 -1.2916 -3.8112
-2.0463 -7.4064 -0.9631
```

Output
total energy: -5.527 eV/atom
volume: 367.7 Å³/cell
formation energy (no corrections): -583 meV per atom
total magnetization: 0.0 μB/f.u.
space-group type: Pa-3

- total magnetization of number 8 (ZrTe2)?
  0.0 μB/f.u.

- Look up the total energy of the eighth one.
  -5.527 eV/atom

- Look up the total energy of the first one.
  -7.452 eV/atom